No. 1
KCuAg | the Alexandria database | PBEsol | relaxed; energy of formation = 2.0 eV/f.u.; V = 78.8 Å³/f.u.; DOS(E_F) = 1.02 states/eV/f.u.; VASP energy = -6.765 eV per formula unit
1.0
4.8122 0.0000 0.0000
2.4061 4.1674 0.0000
2.4061 1.3891 3.9291
Cu K Ag
1 1 1
direct
0.0000 0.0000 0.0000 Cu
0.5000 0.5000 0.5000 K
0.7500 0.7500 0.7500 Ag

=====

No. 2
CaZrAs2 | the Alexandria database | PBEsol | relaxed; energy of formation = -3.3 eV/f.u.; V = 82.0 Å³/f.u.; DOS(E_F) = 2.02 states/eV/f.u.; VASP energy = -24.694 eV per formula unit
1.0
3.1329 0.0196 0.0208
-0.9054 5.1132 0.0163
-0.9054 -0.3023 5.1042
As Zr Ca
2 1 1
direct
0.0000 0.0000 0.5000 As
0.0000 0.5000 0.0000 As
0.5000 0.5000 0.5000 Zr
0.5000 0.0000 0.0000 Ca